No. 1
## Pm2YPa (PBE-GGA)

Data for a geometry-optimized Pm2YPa structure.

Geometry as extended XYZ:
```
4
Lattice="3.4493 0.0000 0.0000 0.0000 3.4493 0.0000 0.0000 0.0000 10.4276" Properties=species:S:1:pos:R:3 pbc="T T T"
Pm 0.0000 0.0000 2.4084
Pm 0.0000 0.0000 8.0192
Y 1.7247 1.7247 5.2138
Pa 1.7247 1.7247 0.0000
```

Summary:
Total DFT energy (no corrections)   -6.2080 eV per atom
Relative energy among the computed polymorphs   0.0 meV/atom

No. 2
## La9PmCd2 (PBE-GGA)

Data for a geometry-optimized La9PmCd2 structure.

Geometry as extended XYZ:
```
12
Lattice="5.1248 0.0000 0.0000 0.0000 5.1248 0.0000 0.0000 0.0000 15.4063" Properties=species:S:1:pos:R:3 pbc="T T T"
La 0.0000 0.0000 0.0000
La 0.0000 0.0000 5.1640
La 0.0000 0.0000 10.2423
La 0.0000 2.5624 2.6498
La 0.0000 2.5624 7.7031
La 0.0000 2.5624 12.7565
La 2.5624 0.0000 2.6498
La 2.5624 0.0000 7.7031
La 2.5624 0.0000 12.7565
Pm 2.5624 2.5624 0.0000
Cd 2.5624 2.5624 5.2181
Cd 2.5624 2.5624 10.1881
```

Summary:
Total DFT energy (no corrections)   -4.3248 eV per atom